No. 1
## HfNpU2P4 (GGA-PBE)

Data for a relaxed HfNpU2P4 crystal.

**Symmetry**: No. 10
**Crystal system**: monoclinic

Lattice parameters (Å, degrees): 3.8407 6.7906 6.6264 109.01 90.00 90.00
Closest atoms and distances in Å follow each position.
Fractional positions:
P 0.0000 0.7388 0.2404  2 Hf 2.68, 3 U 2.72-2.79, 1 Np 2.74
U 0.0000 0.5000 0.5000  6 P 2.72-2.73
Hf 0.5000 0.5000 0.0000  6 P 2.66-2.68
U 0.5000 0.0000 0.5000  6 P 2.79-2.80
P 0.5000 0.7425 0.7551  1 Hf 2.66, 3 U 2.73-2.80, 2 Np 2.74
P 0.0000 0.2612 0.7596  2 Hf 2.68, 3 U 2.72-2.79, 1 Np 2.74
Np 0.0000 0.0000 0.0000  6 P 2.74
P 0.5000 0.2575 0.2449  1 Hf 2.66, 3 U 2.73-2.80, 2 Np 2.74


No. 2
## RbAu (GGA-PBE)

Data for a relaxed RbAu crystal.

**Symmetry**: No. 38
**Crystal system**: orthorhombic

Lattice parameters (Å, degrees): 4.3605 14.4370 8.4169 90.00 90.00 90.00
Closest atoms and distances in Å follow each position.
Fractional positions:
Rb 0.5000 0.8333 0.6661  6 Au 3.54
Au 0.0000 0.1667 0.3346  6 Rb 3.54
Au 0.0000 0.5000 0.3346  6 Rb 3.54
Rb 0.5000 0.6667 0.1661  6 Au 3.54
Au 0.0000 0.3333 0.8346  6 Rb 3.54
Rb 0.5000 0.1667 0.6661  6 Au 3.54
Rb 0.5000 0.5000 0.6661  6 Au 3.54
Rb 0.5000 0.3333 0.1661  6 Au 3.54
Au 0.0000 0.6667 0.8346  6 Rb 3.54
Rb 0.5000 0.0000 0.1661  6 Au 3.54
Au 0.0000 0.8333 0.3346  6 Rb 3.54
Au 0.0000 0.0000 0.8346  6 Rb 3.54


Which calculated formation energy belongs to each record? In order, -1035, -236 meV/atom.
Which density of states at the Fermi level belongs to each record? In order, 1.932, 0.000 states/eV per atom.